The following is a PBE+U calculation of a relaxed MoAsN2O crystal, from Alexandria via LeMat-Bulk.

Properties
For the energy, the calculation gives -29.939 eV for the cell shown. For the calculated density, the calculation gives 6.57 g/cm³.

The structure in POSCAR format:
```
MoAsN2O
1.0
3.866 0.000 0.000
0.000 3.866 0.000
0.000 0.000 3.631
Mo As N O
1 1 2 1
Direct
0.000 0.000 0.000
0.500 0.500 0.500
0.000 0.500 0.500
0.500 0.000 0.500
0.500 0.500 0.000
```